# 1
A plane-wave DFT calculation with PBE-GGA was carried out for a geometry-optimized ScRh2 structure.

Cell lengths 3.705, 3.705, 4.058 Å; angles 90.00, 90.00, 90.00 degrees
Fractional coordinates of all 3 atoms:
Rh 0.000 0.500 0.500
Rh 0.500 0.000 0.500
Sc 0.000 0.000 0.000

Results
- DFT formation energy: -0.2427 eV per atom
- Fermi-level density of states: 1.3980 states/eV/atom
- Volume: 18.57 A^3/atom

# 2
A plane-wave DFT calculation with PBE-GGA was carried out for a geometry-optimized InHgOs2 structure.

Cell lengths 2.966, 5.075, 5.734 Å; angles 52.78, 90.00, 90.00 degrees
Fractional coordinates of all 4 atoms:
Hg 0.500 0.500 0.500
In 0.000 0.000 0.500
Os 0.000 0.000 0.000
Os 0.500 0.500 0.000

Results
- Energy above the lowest structure with this stoichiometry: 177 kJ/mol of formula units
- DFT formation energy: 0.8002 eV per atom
- Fermi-level density of states: 1.0196 states/eV/atom
- Volume: 17.18 A^3/atom

# 3
A plane-wave DFT calculation with PBE-GGA was carried out for a geometry-optimized HoFeSi2Ni structure.

Cell lengths 3.881, 3.881, 5.613 Å; angles 110.22, 110.22, 90.00 degrees
Fractional coordinates of all 5 atoms:
Ho 0.000 0.000 0.000
Fe 0.250 0.750 0.500
Si 0.626 0.626 0.253
Si 0.374 0.374 0.747
Ni 0.750 0.250 0.500

Results
- Fermi-level density of states: 0.4957 states/eV/atom
- Volume: 14.75 A^3/atom
- ΔE_f (raw): -0.764 eV/atom

# 4
A plane-wave DFT calculation with PBE-GGA was carried out for a geometry-optimized FeAuC structure.

Cell lengths 4.927, 3.077, 5.397 Å; angles 90.00, 111.70, 90.00 degrees
Fractional coordinates of all 6 atoms:
C 0.636 0.000 0.387
C 0.636 0.500 0.887
Au 0.168 0.000 0.227
Au 0.168 0.500 0.727
Fe 0.702 0.000 0.740
Fe 0.702 0.500 0.240

Results
- Energy above the lowest structure with this stoichiometry: 1 kJ/mol of formula units
- DFT formation energy: 0.5935 eV per atom
- Fermi-level density of states: 0.7436 states/eV/atom
- Volume: 12.67 A^3/atom